Model one:
A relaxed BaZrRh crystal. Source: Alexandria via LeMat-Bulk, functional PBE.

The calculation puts the volume at 25.8 Å³/atom.

It has space group F-43m (No. 216), with a = 6.768 Å, b = 6.768 Å, c = 6.768 Å, α = 90.00°, β = 90.00° and γ = 90.00°. The distinct sites, in fractional coordinates, are Ba at (0.000, 0.000, 0.000), Zr at (0.250, 0.250, 0.750) and Rh at (0.250, 0.250, 0.250).

---

Model two:
A relaxed BaZrRh crystal. Source: Alexandria via LeMat-Bulk, functional PBE.

The calculation puts the volume at 27.6 Å³/atom.

It has space group I4mm (No. 107), with a = 3.536 Å, b = 3.536 Å, c = 13.224 Å, α = 90.00°, β = 90.00° and γ = 90.00°. The distinct sites, in fractional coordinates, are Ba at (0.000, 0.000, 0.000), Zr at (0.000, 0.000, 0.268) and Rh at (0.000, 0.000, 0.691).

---

Model three:
A relaxed BaZrRh crystal. Source: Alexandria via LeMat-Bulk, functional PBE.

The calculation puts the volume at 31.0 Å³/atom.

It has space group P3m1 (No. 156), with a = 4.3670 Å, b = 4.3670 Å, c = 5.6384 Å, α = 90.00°, β = 90.00° and γ = 120.00°. The distinct sites, in fractional coordinates, are Ba at (0.0000, 0.0000, 0.0000), Zr at (0.3333, 0.6667, 0.5053) and Rh at (0.6667, 0.3333, 0.4413).

---

Model four:
A relaxed BaZrRh crystal. Source: Alexandria via LeMat-Bulk, functional PBE.

The calculation puts the volume at 28.1 Å³/atom.

It has space group F-43m (No. 216), with a = 6.959 Å, b = 6.959 Å, c = 6.959 Å, α = 90.00°, β = 90.00° and γ = 90.00°. The distinct sites, in fractional coordinates, are Ba at (0.000, 0.000, 0.000), Zr at (0.000, 0.000, 0.500) and Rh at (0.250, 0.250, 0.250).

---

Name the most stable of them. model two.

---

Model one:
A relaxed BaZrRh3 crystal. Source: Alexandria via LeMat-Bulk, functional PBE.

The calculation puts the volume at 24.5 Å³/atom.

It has space group Pm-3m (No. 221), with a = 4.967 Å, b = 4.967 Å, c = 4.967 Å, α = 90.00°, β = 90.00° and γ = 90.00°. The distinct sites, in fractional coordinates, are Ba at (0.000, 0.000, 0.000), Zr at (0.500, 0.500, 0.500) and Rh at (0.000, 0.500, 0.500).

---

Model two:
A relaxed BaZrRh3 crystal. Source: Alexandria via LeMat-Bulk, functional PBE.

The calculation puts the volume at 24.7 Å³/atom.

It has space group Pm-3m (No. 221), with a = 4.983 Å, b = 4.983 Å, c = 4.983 Å, α = 90.00°, β = 90.00° and γ = 90.00°. The distinct sites, in fractional coordinates, are Ba at (0.000, 0.000, 0.000), Zr at (0.500, 0.500, 0.500) and Rh at (0.000, 0.000, 0.500).

---

Name the most stable of them. model one.

---

Model one:
A relaxed Ba5Ru crystal. Source: Alexandria via LeMat-Bulk, functional PBE.

The calculation puts the volume at 51.1 Å³/atom.

It has space group P6/mmm (No. 191), with a = 7.0040 Å, b = 7.0040 Å, c = 7.2226 Å, α = 90.00°, β = 90.00° and γ = 120.00°. The distinct sites, in fractional coordinates, are Ba at (0.0000, 0.5000, 0.0000), Ba at (0.3333, 0.6667, 0.5000) and Ru at (0.0000, 0.0000, 0.5000).

---

Model two:
A relaxed Ba5Ru crystal. Source: Alexandria via LeMat-Bulk, functional PBE.

The calculation puts the volume at 49.7 Å³/atom.

It has space group Amm2 (No. 38), with a = 6.420 Å, b = 4.505 Å, c = 20.615 Å, α = 90.00°, β = 90.00° and γ = 90.00°. The distinct sites, in fractional coordinates, are Ba at (0.000, 0.000, 0.000), Ba at (0.000, 0.000, 0.205), Ba at (0.500, 0.000, 0.086), Ba at (0.500, 0.000, 0.406), Ba at (0.500, 0.000, 0.735) and Ru at (0.000, 0.000, 0.609).

---

Name the most stable of them. model two.

---

Model one:
A relaxed Ba4Ru5 crystal. Source: Alexandria via LeMat-Bulk, functional PBE.

The calculation puts the volume at 24.6 Å³/atom.

It has space group P6_3/mcm (No. 193), with a = 9.0593 Å, b = 9.0593 Å, c = 6.2349 Å, α = 90.00°, β = 90.00° and γ = 120.00°. The distinct sites, in fractional coordinates, are Ba at (0.0000, 0.0000, 0.0000), Ba at (0.0000, 0.3551, 0.2500), Ru at (0.0000, 0.3377, 0.7500) and Ru at (0.3333, 0.6667, 0.0000).

---

Model two:
A relaxed Ba4Ru5 crystal. Source: Alexandria via LeMat-Bulk, functional PBE.

The calculation puts the volume at 32.7 Å³/atom.

It has space group I4/mmm (No. 139), with a = 12.015 Å, b = 12.015 Å, c = 4.077 Å, α = 90.00°, β = 90.00° and γ = 90.00°. The distinct sites, in fractional coordinates, are Ba at (0.000, 0.255, 0.000), Ru at (0.000, 0.000, 0.000) and Ru at (0.216, 0.216, 0.500).

---

Name the most stable of them. model two.

---

Model one:
A relaxed Ba5Ru4 crystal. Source: Alexandria via LeMat-Bulk, functional PBE.

The calculation puts the volume at 30.3 Å³/atom.

It has space group P6_3/mcm (No. 193), with a = 10.2791 Å, b = 10.2791 Å, c = 5.9600 Å, α = 90.00°, β = 90.00° and γ = 120.00°. The distinct sites, in fractional coordinates, are Ba at (0.0000, 0.2643, 0.2500), Ba at (0.3333, 0.6667, 0.0000), Ru at (0.0000, 0.0000, 0.0000) and Ru at (0.0000, 0.4684, 0.7500).

---

Model two:
A relaxed Ba5Ru4 crystal. Source: Alexandria via LeMat-Bulk, functional PBE.

The calculation puts the volume at 29.2 Å³/atom.

It has space group I4/mmm (No. 139), with a = 10.388 Å, b = 10.388 Å, c = 4.871 Å, α = 90.00°, β = 90.00° and γ = 90.00°. The distinct sites, in fractional coordinates, are Ba at (0.000, 0.000, 0.000), Ba at (0.179, 0.179, 0.500) and Ru at (0.000, 0.386, 0.000).

---

Name the most stable of them. model one.

---

Model one:
A relaxed Ba2RuS2 crystal. Source: Alexandria via LeMat-Bulk, functional PBE.

The calculation puts the volume at 37.6 Å³/atom.

It has space group I4/mmm (No. 139), with a = 5.849 Å, b = 5.849 Å, c = 11.000 Å, α = 90.00°, β = 90.00° and γ = 90.00°. The distinct sites, in fractional coordinates, are Ba at (0.000, 0.000, 0.178), Ru at (0.000, 0.000, 0.500) and S at (0.000, 0.500, 0.250).

---

Model two:
A relaxed Ba2RuS2 crystal. Source: Alexandria via LeMat-Bulk, functional PBE.

The calculation puts the volume at 29.6 Å³/atom.

It has space group P4/mbm (No. 127), with a = 8.718 Å, b = 8.718 Å, c = 3.899 Å, α = 90.00°, β = 90.00° and γ = 90.00°. The distinct sites, in fractional coordinates, are Ba at (0.148, 0.352, 0.000), Ru at (0.000, 0.000, 0.000) and S at (0.158, 0.658, 0.500).

---

Name the most stable of them. model two.

---

Model one:
A relaxed BaRu3S crystal. Source: Alexandria via LeMat-Bulk, functional PBE.

The calculation puts the volume at 19.0 Å³/atom.

It has space group Pm-3m (No. 221), with a = 4.559 Å, b = 4.559 Å, c = 4.559 Å, α = 90.00°, β = 90.00° and γ = 90.00°. The distinct sites, in fractional coordinates, are Ba at (0.000, 0.000, 0.000), Ru at (0.000, 0.500, 0.500) and S at (0.500, 0.500, 0.500).

---

Model two:
A relaxed BaRu3S crystal. Source: Alexandria via LeMat-Bulk, functional PBE.

The calculation puts the volume at 26.9 Å³/atom.

It has space group Pm-3m (No. 221), with a = 5.124 Å, b = 5.124 Å, c = 5.124 Å, α = 90.00°, β = 90.00° and γ = 90.00°. The distinct sites, in fractional coordinates, are Ba at (0.000, 0.000, 0.000), Ru at (0.000, 0.000, 0.500) and S at (0.500, 0.500, 0.500).

---

Name the most stable of them. model one.

---

Model one:
A relaxed BaSc3Ru crystal. Source: Alexandria via LeMat-Bulk, functional PBE.

The calculation puts the volume at 27.1 Å³/atom.

It has space group Pm-3m (No. 221), with a = 5.135 Å, b = 5.135 Å, c = 5.135 Å, α = 90.00°, β = 90.00° and γ = 90.00°. The distinct sites, in fractional coordinates, are Ba at (0.000, 0.000, 0.000), Sc at (0.000, 0.000, 0.500) and Ru at (0.500, 0.500, 0.500).

---

Model two:
A relaxed BaSc3Ru crystal. Source: Alexandria via LeMat-Bulk, functional PBE.

The calculation puts the volume at 28.1 Å³/atom.

It has space group Pm-3m (No. 221), with a = 5.198 Å, b = 5.198 Å, c = 5.198 Å, α = 90.00°, β = 90.00° and γ = 90.00°. The distinct sites, in fractional coordinates, are Ba at (0.000, 0.000, 0.000), Sc at (0.000, 0.500, 0.500) and Ru at (0.500, 0.500, 0.500).

---

Name the most stable of them. model two.